Record 1
# CaHg2O2 PBE optimized geometry
# Total magnetization, μB/cell: 0.00
# E_form (uncorrected), kJ/mol of atoms: -66
# Energy above the lowest structure with this stoichiometry, eV per atom: 0.1792
data_CaHg2O2
_chemical_formula_sum 'Ca2 Hg4 O4'
_cell_length_a 3.7821
_cell_length_b 3.7821
_cell_length_c 14.2912
_cell_angle_alpha 90.00
_cell_angle_beta 90.00
_cell_angle_gamma 90.00
_space_group_name_H-M_alt 'I 4/m m m'
_space_group_IT_number 139
_space_group_name_Hall '-I 4 2'
loop_
_atom_site_label
_atom_site_type_symbol
_atom_site_fract_x
_atom_site_fract_y
_atom_site_fract_z
_atom_site_occupancy
Ca1 Ca 0.0000 0.0000 0.0000 1
Hg1 Hg 0.0000 0.5000 0.2500 1
O1 O 0.0000 0.0000 0.4463 1

Record 2
# CaHgO PBE optimized geometry
# Total magnetization, μB/cell: 0.00
# E_form (uncorrected), kJ/mol of atoms: -144
# Energy above the lowest structure with this stoichiometry, eV per atom: 0.0347
data_CaHgO
_chemical_formula_sum 'Ca2 Hg2 O2'
_cell_length_a 3.7801
_cell_length_b 3.7801
_cell_length_c 8.7981
_cell_angle_alpha 90.00
_cell_angle_beta 90.00
_cell_angle_gamma 90.00
_space_group_name_H-M_alt 'P 4/n m m'
_space_group_IT_number 129
loop_
_space_group_symop_operation_xyz
'x,y,z'
'-x,-y,-z'
'-y+1/2,x,z'
'y+1/2,-x,-z'
'-x+1/2,-y+1/2,z'
'x+1/2,y+1/2,-z'
'y,-x+1/2,z'
'-y,x+1/2,-z'
'x+1/2,-y,-z'
'-x+1/2,y,z'
'-y,-x,-z'
'y,x,z'
'-x,y+1/2,-z'
'x,-y+1/2,z'
'y+1/2,x+1/2,-z'
'-y+1/2,-x+1/2,z'
loop_
_atom_site_label
_atom_site_type_symbol
_atom_site_fract_x
_atom_site_fract_y
_atom_site_fract_z
_atom_site_occupancy
Ca1 Ca 0.2500 0.2500 0.1271 1
Hg1 Hg 0.2500 0.7500 0.5000 1
O1 O 0.2500 0.2500 0.8780 1

Record 3
# Ca2HgO2 PBE optimized geometry
# Total magnetization, μB/cell: 0.00
# E_form (uncorrected), kJ/mol of atoms: -155
# Energy above the lowest structure with this stoichiometry, eV per atom: 0.4242
data_Ca2HgO2
_chemical_formula_sum 'Ca4 Hg2 O4'
_cell_length_a 7.3217
_cell_length_b 7.3217
_cell_length_c 3.1129
_cell_angle_alpha 90.00
_cell_angle_beta 90.00
_cell_angle_gamma 90.00
_space_group_name_H-M_alt 'P 4/m b m'
_space_group_IT_number 127
_space_group_name_Hall '-P 4 2ab'
loop_
_atom_site_label
_atom_site_type_symbol
_atom_site_fract_x
_atom_site_fract_y
_atom_site_fract_z
_atom_site_occupancy
Ca1 Ca 0.1347 0.3653 0.0000 1
Hg1 Hg 0.0000 0.0000 0.0000 1
O1 O 0.1370 0.6370 0.5000 1

Record 4
# CaHgO2 PBE optimized geometry
# Total magnetization, μB/cell: 0.00
# E_form (uncorrected), kJ/mol of atoms: -139
data_CaHgO2
_chemical_formula_sum 'Ca3 Hg3 O6'
_cell_length_a 3.4055
_cell_length_b 3.4055
_cell_length_c 17.6704
_cell_angle_alpha 90.00
_cell_angle_beta 90.00
_cell_angle_gamma 120.00
_space_group_name_H-M_alt 'R 3 m'
_space_group_IT_number 160
_space_group_name_Hall 'R 3 -2"'
loop_
_atom_site_label
_atom_site_type_symbol
_atom_site_fract_x
_atom_site_fract_y
_atom_site_fract_z
_atom_site_occupancy
Ca1 Ca 0.0000 0.0000 0.0000 1
Hg1 Hg 0.0000 0.0000 0.1707 1
O1 O 0.0000 0.0000 0.5904 1
O2 O 0.0000 0.0000 0.7489 1

Record 5
# Ca3Hg5O12 PBE optimized geometry
# Total magnetization, μB/cell: 0.00
# E_form (uncorrected), kJ/mol of atoms: -70
data_Ca3Hg5O12
_chemical_formula_sum 'Ca24 Hg40 O96'
_cell_length_a 13.4421
_cell_length_b 13.4421
_cell_length_c 13.4421
_cell_angle_alpha 90.00
_cell_angle_beta 90.00
_cell_angle_gamma 90.00
_space_group_name_H-M_alt 'I a -3 d'
_space_group_IT_number 230
_space_group_name_Hall '-I 4bd 2c 3'
loop_
_atom_site_label
_atom_site_type_symbol
_atom_site_fract_x
_atom_site_fract_y
_atom_site_fract_z
_atom_site_occupancy
Ca1 Ca 0.0000 0.2500 0.1250 1
Hg1 Hg 0.0000 0.0000 0.0000 1
Hg2 Hg 0.0000 0.2500 0.3750 1
O1 O 0.0145 0.0590 0.6479 1

Record 6
# CaHgO2 PBE optimized geometry
# Total magnetization, μB/cell: 0.00
# E_form (uncorrected), kJ/mol of atoms: -118
data_CaHgO2
_chemical_formula_sum 'Ca4 Hg4 O8'
_cell_length_a 6.0122
_cell_length_b 6.0122
_cell_length_c 6.0122
_cell_angle_alpha 90.00
_cell_angle_beta 90.00
_cell_angle_gamma 90.00
_space_group_name_H-M_alt 'F m -3 m'
_space_group_IT_number 225
_space_group_name_Hall '-F 4 2 3'
loop_
_atom_site_label
_atom_site_type_symbol
_atom_site_fract_x
_atom_site_fract_y
_atom_site_fract_z
_atom_site_occupancy
Ca1 Ca 0.0000 0.0000 0.0000 1
Hg1 Hg 0.0000 0.0000 0.5000 1
O1 O 0.2500 0.2500 0.2500 1

Short version: E_tot = -3.18 -3.92 -4.45 -4.49 -4.07 -4.28 eV per atom, in the order given.